A plane-wave DFT calculation with SCAN was carried out for a crystal of CdTcAs2 relaxed with PBEsol.

Cell and atoms, written as extended XYZ:
```
4
Lattice="-1.219 -2.294 1.843 0.865 -2.186 -2.148 6.186 -0.707 3.211" Properties=species:S:1:pos:R:3 pbc="T T T"
Cd 3.292 -0.376 1.709
As 5.927 -0.677 3.077
As 1.065 -2.382 0.492
Tc 4.828 -2.812 2.445
```

## Properties
* ΔH_f (0 K): 0.152 eV/atom



A plane-wave DFT calculation with SCAN was carried out for a crystal of NbSb3O8 relaxed with PBEsol.

Cell and atoms, written as extended XYZ:
```
24
Lattice="-0.064 -4.869 0.455 5.220 0.100 1.799 -3.844 1.018 11.098" Properties=species:S:1:pos:R:3 pbc="T T T"
O 4.005 -1.319 4.333
O 0.012 -3.719 1.859
O -1.475 -3.102 11.227
O 0.113 -2.448 9.349
O 1.410 -0.535 3.346
O 1.527 -1.157 5.811
O 1.141 -2.220 12.024
O -1.054 -0.373 4.818
O -0.342 -0.329 7.728
O -2.510 -3.332 8.538
O 2.302 -0.695 8.621
O 2.631 -3.252 2.780
O 3.469 -0.894 1.389
O 0.846 -1.451 0.585
O 2.289 -3.312 7.532
O -0.290 -2.855 6.544
Sb -2.021 -1.779 9.776
Sb -1.619 -4.233 6.990
Sb 4.288 -2.232 2.575
Sb 2.805 0.202 4.989
Sb 0.509 -3.793 10.877
Sb 0.204 -1.911 4.322
Nb 1.614 -4.745 1.973
Nb 1.006 -1.777 7.737
```

## Properties
* formation energy (no corrections): -1844 meV per atom



A plane-wave DFT calculation with SCAN was carried out for a crystal of CaSbAu4 relaxed with PBEsol.

Cell and atoms, written as extended XYZ:
```
6
Lattice="5.553 0.000 0.000 2.776 4.809 0.000 2.776 1.603 4.534" Properties=species:S:1:pos:R:3 pbc="T T T"
Au 4.167 2.406 1.701
Au 6.938 2.406 1.701
Au 5.553 3.206 3.964
Au 5.553 4.806 1.701
Sb 0.000 0.000 0.000
Ca 8.329 4.809 3.400
```

## Properties
* formation energy (no corrections): -457 meV per atom



A plane-wave DFT calculation with SCAN was carried out for a crystal of HfSc3Ni relaxed with PBEsol.

Cell and atoms, written as extended XYZ:
```
5
Lattice="4.985 0.000 0.000 0.000 4.985 0.000 0.000 0.000 4.985" Properties=species:S:1:pos:R:3 pbc="T T T"
Hf 0.000 0.000 0.000
Sc 2.492 0.000 0.000
Sc 0.000 0.000 2.492
Sc 0.000 2.492 0.000
Ni 2.492 2.492 2.492
```

## Properties
* ΔH_f (0 K): 1.203 eV/atom



A plane-wave DFT calculation with SCAN was carried out for a crystal of B2Te2F relaxed with PBEsol.

Cell and atoms, written as extended XYZ:
```
10
Lattice="-1.599 2.824 -1.236 -1.410 -3.525 -6.230 -6.322 -2.366 2.770" Properties=species:S:1:pos:R:3 pbc="T T T"
B -1.889 -0.260 -3.030
B -4.565 -0.231 0.496
B -7.442 -2.807 -1.668
B -4.766 -2.835 -5.193
F -3.866 -2.945 -1.730
F 0.000 0.000 0.000
Te -1.716 -1.524 -1.262
Te -2.979 -3.495 -4.133
Te -4.753 -2.396 0.672
Te -6.016 -4.367 -2.199
```

## Properties
* formation energy (no corrections): 64 meV per atom



A plane-wave DFT calculation with SCAN was carried out for a crystal of NbCuSbTe2 relaxed with PBEsol.

Cell and atoms, written as extended XYZ:
```
5
Lattice="5.275 0.000 0.000 0.000 5.275 0.000 0.000 0.000 5.361" Properties=species:S:1:pos:R:3 pbc="T T T"
Te 2.637 0.000 0.000
Te 0.000 2.637 0.000
Sb 0.000 0.000 2.680
Cu 2.637 2.637 2.680
Nb 0.000 0.000 0.000
```

## Properties
* formation energy (no corrections): 703 meV per atom



A plane-wave DFT calculation with SCAN was carried out for a crystal of BaZrRe2 relaxed with PBEsol.

Cell and atoms, written as extended XYZ:
```
4
Lattice="4.839 0.000 0.000 2.420 4.191 0.000 2.420 1.397 3.951" Properties=species:S:1:pos:R:3 pbc="T T T"
Zr 4.839 2.794 1.976
Re 2.420 1.397 0.988
Re 7.259 4.191 2.963
Ba 0.000 0.000 0.000
```

## Properties
* ΔH_f (0 K): 1.192 eV/atom



A plane-wave DFT calculation with SCAN was carried out for a crystal of LiNi2P2 relaxed with PBEsol.

Cell and atoms, written as extended XYZ:
```
5
Lattice="3.727 0.000 0.000 0.000 3.727 0.000 -1.863 -1.863 4.537" Properties=species:S:1:pos:R:3 pbc="T T T"
P 0.000 0.000 3.460
P 1.863 1.863 1.077
Li 0.000 0.000 0.000
Ni 0.000 1.863 2.268
Ni 1.863 0.000 2.268
```

## Properties
* ΔH_f (0 K): -0.632 eV/atom